# Ba2HgIr

Crystalline Ba2HgIr at its relaxed geometry (GGA-PBE, Alexandria).

Cell: 4.8015 4.8015 24.6449 Å, 90.00 90.00 120.00°
Positions (direct):
Ba: 0.0000 0.0000 0.0000
Ba: 0.0000 0.0000 0.1630
Ba: 0.3333 0.6667 0.6667
Ba: 0.3333 0.6667 0.8297
Ba: 0.6667 0.3333 0.3333
Ba: 0.6667 0.3333 0.4964
Hg: 0.0000 0.0000 0.7483
Hg: 0.3333 0.6667 0.4150
Hg: 0.6667 0.3333 0.0816
Ir: 0.0000 0.0000 0.4145
Ir: 0.3333 0.6667 0.0812
Ir: 0.6667 0.3333 0.7478

The formation energy is -67.4 kJ/mol of formula units. The calculation puts the density of states at the Fermi level at 1.031 states/eV per atom. The space group is R3m. The value obtained for the energy is -41.12 eV per cell.